Compound: CuPtBr2
Source: the Alexandria database
Functional: GGA-PBE
Structure: relaxed

Structure (POSCAR):
```
CuPtBr2
1.0
6.740 0.090 -0.484
5.599 3.752 -0.484
0.409 0.127 4.742
Br Pt Cu
2 1 1
Direct
0.264 0.264 0.277
0.004 0.004 0.831
0.842 0.842 0.531
0.391 0.391 0.861
```

The total energy comes out at -13.23 eV per cell. For the total magnetization, the calculation gives 0.00 μB per formula unit. The crystal system is monoclinic. The calculation puts the energy above the most stable polymorph in this dataset at 21 meV per atom. For the uncorrected formation energy, the calculation gives 0.064 eV/atom.

=====

Compound: CeAg2PbCl8
Source: the Alexandria database
Functional: GGA-PBE
Structure: relaxed

Structure (POSCAR):
```
CeAg2PbCl8
1.0
-5.304 -3.396 -2.185
3.880 -2.676 -4.419
1.796 -6.935 4.711
Cl Ag Pb Ce
8 2 1 1
Direct
0.343 0.280 0.473
0.166 0.786 0.777
0.160 0.779 0.234
0.317 0.265 0.979
0.657 0.720 0.527
0.840 0.221 0.766
0.683 0.735 0.021
0.834 0.214 0.223
0.531 0.547 0.275
0.469 0.453 0.725
0.000 0.000 0.500
0.000 0.000 0.000
```

The total energy comes out at -44.95 eV per cell. For the total magnetization, the calculation gives 0.11 μB per formula unit. The crystal system is triclinic. For the uncorrected formation energy, the calculation gives -1.236 eV/atom.